Here is a geometry-optimized SrCu2Pd structure from Alexandria via LeMat-Bulk. Energies are from PBE.

Values from the calculation:
Crystal system = cubic
SG = Fm-3m, No. 225
E = -3.74 eV per atom
Formation energy from the elements = 0.024 eV per atom
Magnetic moment = 0.00 μB per formula unit

abc: 4.742 4.742 4.742
angles: 60.00 60.00 60.00
Atoms (fractional coordinates):
Cu (0.250, 0.250, 0.250)
Cu (0.750, 0.750, 0.750)
Pd (0.500, 0.500, 0.500)
Sr (0.000, 0.000, 0.000)